{
  "formula": "La2PmMg",
  "functional": "PBE",
  "state": "optimized geometry",
  "n_ef_per_ev_fu": 5.168,
  "crystal_system": "trigonal",
  "polymorph_energy_ev_per_fu": 0.946,
  "delta_e_f_ev_per_atom": 0.192,
  "rho_kg_m3": 5279,
  "dft_energy_ev_per_fu": -15.43,
  "cell": [[1.778, 1.027, 12.836], [-1.778, 1.027, 12.836], [0.000, -2.054, 12.836]],
  "species": ["La", "La", "Pm", "Mg"],
  "frac_coords": [[0.089, 0.089, 0.089], [0.911, 0.911, 0.911], [0.500, 0.500, 0.500], [0.000, 0.000, 0.000]]
}


{
  "formula": "LaPm3Mg2",
  "functional": "PBE",
  "state": "optimized geometry",
  "n_ef_per_ev_fu": 7.004,
  "crystal_system": "tetragonal",
  "delta_e_f_ev_per_atom": -0.061,
  "rho_kg_m3": 5501,
  "dft_energy_ev_per_fu": -22.73,
  "cell": [[3.809, 0.000, 0.000], [0.000, 3.809, 0.000], [0.000, 0.000, 12.954]],
  "species": ["La", "Pm", "Pm", "Pm", "Mg", "Mg"],
  "frac_coords": [[0.000, 0.000, 0.000], [0.500, 0.500, 0.197], [0.500, 0.500, 0.500], [0.500, 0.500, 0.803], [0.000, 0.000, 0.349], [0.000, 0.000, 0.651]]
}


{
  "formula": "LaPmMg",
  "functional": "PBE",
  "state": "optimized geometry",
  "n_ef_per_ev_fu": 3.851,
  "crystal_system": "tetragonal",
  "polymorph_energy_ev_per_fu": 0.005,
  "delta_e_f_ev_per_atom": -0.052,
  "rho_kg_m3": 5285,
  "dft_energy_ev_per_fu": -11.43,
  "cell": [[-1.922, 1.922, 6.553], [1.922, -1.922, 6.553], [1.922, 1.922, -6.553]],
  "species": ["La", "Pm", "Mg"],
  "frac_coords": [[0.000, 0.000, 0.000], [0.311, 0.311, 0.000], [0.662, 0.662, 0.000]]
}


{
  "formula": "La7Pm3Mg",
  "functional": "PBE",
  "state": "optimized geometry",
  "n_ef_per_ev_fu": 17.657,
  "crystal_system": "monoclinic",
  "polymorph_energy_ev_per_fu": 0.521,
  "delta_e_f_ev_per_atom": 0.201,
  "rho_kg_m3": 5864,
  "dft_energy_ev_per_fu": -48.12,
  "cell": [[5.846, -5.256, 0.000], [5.846, 5.256, 0.000], [-0.032, 0.000, 6.597]],
  "species": ["La", "La", "La", "La", "La", "La", "La", "Pm", "Pm", "Pm", "Mg"],
  "frac_coords": [[0.000, 0.000, 0.000], [0.052, 0.396, 0.270], [0.260, 0.260, 0.794], [0.396, 0.052, 0.270], [0.604, 0.948, 0.730], [0.740, 0.740, 0.206], [0.948, 0.604, 0.730], [0.335, 0.665, 0.000], [0.500, 0.500, 0.500], [0.665, 0.335, 0.000], [0.000, 0.000, 0.500]]
}


{
  "formula": "La4PmMg",
  "functional": "PBE",
  "state": "optimized geometry",
  "n_ef_per_ev_fu": 8.090,
  "crystal_system": "monoclinic",
  "polymorph_energy_ev_per_fu": 0.134,
  "delta_e_f_ev_per_atom": -0.006,
  "rho_kg_m3": 5900,
  "dft_energy_ev_per_fu": -26.09,
  "cell": [[5.466, -3.164, 0.000], [5.466, 3.164, 0.000], [-3.694, 0.000, 11.796]],
  "species": ["La", "La", "La", "La", "La", "La", "La", "La", "Pm", "Pm", "Mg", "Mg"],
  "frac_coords": [[0.159, 0.679, 0.502], [0.253, 0.411, 0.750], [0.321, 0.841, 0.998], [0.411, 0.253, 0.250], [0.589, 0.747, 0.750], [0.679, 0.159, 0.002], [0.747, 0.589, 0.250], [0.841, 0.321, 0.498], [0.000, 0.500, 0.000], [0.500, 0.000, 0.500], [0.084, 0.916, 0.250], [0.916, 0.084, 0.750]]
}


{
  "formula": "La5Pm4Mg2",
  "functional": "PBE",
  "state": "optimized geometry",
  "n_ef_per_ev_fu": 16.977,
  "crystal_system": "monoclinic",
  "delta_e_f_ev_per_atom": 0.082,
  "rho_kg_m3": 5873,
  "dft_energy_ev_per_fu": -45.92,
  "cell": [[12.055, -1.785, 0.000], [12.055, 1.785, 0.000], [-0.699, 0.000, 8.692]],
  "species": ["La", "La", "La", "La", "La", "Pm", "Pm", "Pm", "Pm", "Mg", "Mg"],
  "frac_coords": [[0.000, 0.000, 0.000], [0.318, 0.318, 0.524], [0.371, 0.371, 0.972], [0.629, 0.629, 0.028], [0.682, 0.682, 0.476], [0.231, 0.231, 0.825], [0.462, 0.462, 0.650], [0.538, 0.538, 0.350], [0.769, 0.769, 0.175], [0.086, 0.086, 0.686], [0.914, 0.914, 0.314]]
}


Q: What is the formula in the second record?
A: LaPm3Mg2